Entry P
# PrAl3Zn2

An optimized crystal structure of PrAl3Zn2 (PBE, Alexandria via LeMat-Bulk).

The structure belongs to space group P6/mmm (No. 191); the cell edges are 5.5873, 5.5873 and 4.2260 Å and the angles 90.00°, 90.00° and 120.00°. The inequivalent atoms are Pr at (0.0000, 0.0000, 0.0000), Al at (0.0000, 0.5000, 0.5000) and Zn at (0.3333, 0.6667, 0.0000).

For the total moment, the calculation gives 0.00 μB per formula unit.

Entry Q
# PrAl3Zn2

An optimized crystal structure of PrAl3Zn2 (PBE, Alexandria via LeMat-Bulk).

The structure belongs to space group C2/m (No. 12); the cell edges are 15.942, 4.428 and 6.836 Å and the angles 90.00°, 106.04° and 90.00°. The inequivalent atoms are Pr at (0.119, 0.000, 0.193), Al at (0.066, 0.000, 0.679), Al at (0.128, 0.500, 0.517), Al at (0.197, 0.500, 0.926), Zn at (0.026, 0.500, 0.838) and Zn at (0.234, 0.000, 0.670).

For the total moment, the calculation gives 0.00 μB per formula unit.

Most stable: entry P. Least stable: entry Q.

Entry P
# Pr8AlZn2

An optimized crystal structure of Pr8AlZn2 (PBE, Alexandria via LeMat-Bulk).

The structure belongs to space group C2/m (No. 12); the cell edges are 18.036, 5.151 and 7.788 Å and the angles 90.00°, 112.27° and 90.00°. The inequivalent atoms are Pr at (0.033, 0.000, 0.272), Pr at (0.091, 0.500, 0.958), Pr at (0.174, 0.500, 0.469), Pr at (0.190, 0.000, 0.790), Al at (0.000, 0.500, 0.500) and Zn at (0.184, 0.000, 0.174).

For the total moment, the calculation gives 0.00 μB per formula unit.

Entry Q
# Pr8AlZn2

An optimized crystal structure of Pr8AlZn2 (PBE, Alexandria via LeMat-Bulk).

The structure belongs to space group Immm (No. 71); the cell edges are 5.114, 8.640 and 15.072 Å and the angles 90.00°, 90.00° and 90.00°. The inequivalent atoms are Pr at (0.000, 0.000, 0.138), Pr at (0.000, 0.225, 0.339), Pr at (0.000, 0.316, 0.000), Al at (0.000, 0.500, 0.500) and Zn at (0.000, 0.500, 0.193).

For the total moment, the calculation gives 0.00 μB per formula unit.

Most stable: entry P. Least stable: entry Q.

Entry P
# Pr3AlZn

An optimized crystal structure of Pr3AlZn (PBE, Alexandria via LeMat-Bulk).

The structure belongs to space group Cmcm (No. 63); the cell edges are 5.330, 19.945 and 5.334 Å and the angles 90.00°, 90.00° and 90.00°. The inequivalent atoms are Pr at (0.000, 0.064, 0.250), Pr at (0.000, 0.248, 0.250), Pr at (0.000, 0.429, 0.250), Al at (0.000, 0.158, 0.750) and Zn at (0.000, 0.343, 0.750).

For the total moment, the calculation gives 0.00 μB per formula unit.

Entry Q
# Pr3AlZn

An optimized crystal structure of Pr3AlZn (PBE, Alexandria via LeMat-Bulk).

The structure belongs to space group P2_1/c (No. 14); the cell edges are 8.646, 6.373 and 10.981 Å and the angles 90.00°, 109.52° and 90.00°. The inequivalent atoms are Pr at (0.039, 0.107, 0.189), Pr at (0.208, 0.003, 0.533), Pr at (0.405, 0.715, 0.825), Al at (0.299, 0.511, 0.535) and Zn at (0.397, 0.218, 0.871).

For the total moment, the calculation gives 0.00 μB per formula unit.

Most stable: entry P. Least stable: entry Q.

Entry P
# Pr4AlZn

An optimized crystal structure of Pr4AlZn (PBE, Alexandria via LeMat-Bulk).

The structure belongs to space group P4/mmm (No. 123); the cell edges are 5.185, 5.185 and 7.323 Å and the angles 90.00°, 90.00° and 90.00°. The inequivalent atoms are Pr at (0.000, 0.500, 0.247), Al at (0.000, 0.000, 0.500) and Zn at (0.500, 0.500, 0.000).

For the total moment, the calculation gives 0.00 μB per formula unit.

Entry Q
# Pr4AlZn

An optimized crystal structure of Pr4AlZn (PBE, Alexandria via LeMat-Bulk).

The structure belongs to space group C2/m (No. 12); the cell edges are 12.973, 3.781 and 7.598 Å and the angles 90.00°, 107.01° and 90.00°. The inequivalent atoms are Pr at (0.143, 0.000, 0.325), Pr at (0.147, 0.000, 0.820), Al at (0.000, 0.500, 0.000) and Zn at (0.000, 0.500, 0.500).

For the total moment, the calculation gives 1.05 μB per formula unit.

Most stable: entry Q. Least stable: entry P.